[1]
Below is an optimized crystal structure of CuBiP2S, with properties calculated at the PBE level.

Cell lengths 4.522, 4.522, 4.771 Å; angles 90.00, 90.00, 90.00 degrees
Positions (direct):
P 0.000 0.500 0.000
P 0.500 0.000 0.000
S 0.000 0.000 0.500
Bi 0.500 0.500 0.500
Cu 0.000 0.000 0.000

Relative energy among the computed polymorphs = 0.0 kJ per mole of atoms
Energy = -4.030 eV/atom
Crystal system = tetragonal


[2]
Below is an optimized crystal structure of CuBiPS2, with properties calculated at the PBE level.

Cell lengths 4.641, 4.641, 4.504 Å; angles 90.00, 90.00, 90.00 degrees
Positions (direct):
P 0.000 0.000 0.500
S 0.000 0.500 0.000
S 0.500 0.000 0.000
Bi 0.500 0.500 0.500
Cu 0.000 0.000 0.000

Relative energy among the computed polymorphs = 0.0 kJ per mole of atoms
Energy = -3.939 eV/atom
Crystal system = tetragonal


[3]
Below is an optimized crystal structure of CuBiPS2, with properties calculated at the PBE level.

Cell lengths 5.222, 5.222, 5.345 Å; angles 90.00, 90.00, 90.00 degrees
Positions (direct):
P 0.000 0.000 0.500
S 0.000 0.500 0.000
S 0.500 0.000 0.000
Bi 0.000 0.000 0.000
Cu 0.500 0.500 0.500

Relative energy among the computed polymorphs = 74.3 kJ per mole of atoms
Energy = -3.169 eV/atom
Crystal system = tetragonal


[4]
Below is an optimized crystal structure of Sr2CuBiP, with properties calculated at the PBE level.

Cell lengths 6.014, 6.014, 4.263 Å; angles 90.00, 90.00, 90.00 degrees
Positions (direct):
Sr 0.000 0.500 0.000
Sr 0.500 0.000 0.000
Bi 0.500 0.500 0.500
Cu 0.000 0.000 0.500
P 0.000 0.000 0.000

Energy relative to the elements = -0.6373 eV/atom
Energy = -3.987 eV/atom
Crystal system = tetragonal


[5]
Below is an optimized crystal structure of YCuBiP2, with properties calculated at the PBE level.

Cell lengths 5.331, 4.676, 5.331 Å; angles 90.00, 90.00, 90.00 degrees
Positions (direct):
Y 0.500 0.500 0.500
P 0.000 0.000 0.500
P 0.500 0.000 0.000
Bi 0.000 0.000 0.000
Cu 0.000 0.500 0.000

Energy relative to the elements = 0.5718 eV/atom
Energy = -4.480 eV/atom
Crystal system = tetragonal


[6]
Below is an optimized crystal structure of PaCuBi, with properties calculated at the PBE level.

Cell lengths 4.264, 4.435, 4.435 Å; angles 120.00, 90.00, 90.00 degrees
Positions (direct):
Pa 0.606 0.667 0.333
Bi 0.084 0.000 0.000
Cu 0.310 0.333 0.667

Energy relative to the elements = 0.0030 eV/atom
Energy = -5.821 eV/atom
Crystal system = trigonal


[7]
Below is an optimized crystal structure of PaCuBi2, with properties calculated at the PBE level.

Cell lengths 4.617, 4.617, 9.266 Å; angles 90.00, 90.00, 90.00 degrees
Positions (direct):
Pa 0.000 0.500 0.225
Pa 0.500 0.000 0.775
Cu 0.000 0.000 0.000
Cu 0.500 0.500 0.000
Bi 0.000 0.000 0.500
Bi 0.500 0.500 0.500
Bi 0.000 0.500 0.823
Bi 0.500 0.000 0.177

Energy relative to the elements = -0.1102 eV/atom
Relative energy among the computed polymorphs = 0.0 kJ per mole of atoms
Energy = -5.449 eV/atom
Crystal system = tetragonal


[8]
Below is an optimized crystal structure of PaCuBi2, with properties calculated at the PBE level.

Cell lengths 3.987, 3.987, 6.421 Å; angles 90.00, 90.00, 90.00 degrees
Positions (direct):
Pa 0.500 0.500 0.500
Bi 0.000 0.000 0.758
Bi 0.000 0.000 0.242
Cu 0.500 0.500 0.000

Energy relative to the elements = 0.1664 eV/atom
Relative energy among the computed polymorphs = 26.7 kJ per mole of atoms
Energy = -5.172 eV/atom
Crystal system = tetragonal


[9]
Below is an optimized crystal structure of PaCuBi, with properties calculated at the PBE level.

Cell lengths 3.511, 3.511, 6.203 Å; angles 106.44, 106.44, 90.00 degrees
Positions (direct):
Pa 0.021 0.021 0.043
Bi 0.314 0.314 0.628
Cu 0.665 0.665 0.329

Energy relative to the elements = 0.1490 eV/atom
Energy = -5.675 eV/atom
Crystal system = tetragonal


[10]
Below is an optimized crystal structure of Pa2CuBi, with properties calculated at the PBE level.

Cell lengths 4.904, 4.333, 4.333 Å; angles 90.00, 90.00, 90.00 degrees
Positions (direct):
Pa 0.000 0.000 0.500
Pa 0.000 0.500 0.000
Bi 0.500 0.000 0.000
Cu 0.500 0.500 0.500

Energy relative to the elements = 0.0966 eV/atom
Relative energy among the computed polymorphs = 0.0 kJ per mole of atoms
Energy = -6.646 eV/atom
Crystal system = tetragonal


[11]
Below is an optimized crystal structure of PaCuBi2, with properties calculated at the PBE level.

Cell lengths 3.364, 3.364, 10.846 Å; angles 81.08, 81.08, 60.00 degrees
Positions (direct):
Pa 0.000 0.000 0.000
Bi 0.101 0.101 0.696
Bi 0.899 0.899 0.304
Cu 0.500 0.500 0.500

Energy relative to the elements = 0.3773 eV/atom
Relative energy among the computed polymorphs = 47.0 kJ per mole of atoms
Energy = -4.961 eV/atom
Crystal system = trigonal


[12]
Below is an optimized crystal structure of PaCuBi2, with properties calculated at the PBE level.

Cell lengths 4.159, 4.884, 4.884 Å; angles 90.00, 90.00, 90.00 degrees
Positions (direct):
Pa 0.500 0.500 0.500
Bi 0.000 0.000 0.500
Bi 0.000 0.500 0.000
Cu 0.500 0.000 0.000

Energy relative to the elements = -0.0445 eV/atom
Relative energy among the computed polymorphs = 6.3 kJ per mole of atoms
Energy = -5.383 eV/atom
Crystal system = tetragonal


[13]
Below is an optimized crystal structure of PaCu4Bi, with properties calculated at the PBE level.

Cell lengths 5.282, 5.282, 5.282 Å; angles 60.00, 60.00, 60.00 degrees
Positions (direct):
Pa 0.000 0.000 0.000
Bi 0.250 0.250 0.250
Cu 0.627 0.627 0.120
Cu 0.627 0.120 0.627
Cu 0.627 0.627 0.627
Cu 0.120 0.627 0.627

Energy relative to the elements = 0.1222 eV/atom
Energy = -4.838 eV/atom
Crystal system = cubic


[14]
Below is an optimized crystal structure of Pa2CuBi, with properties calculated at the PBE level.

Cell lengths 4.187, 4.187, 7.496 Å; angles 73.78, 73.78, 60.00 degrees
Positions (direct):
Pa 0.266 0.266 0.201
Pa 0.734 0.734 0.799
Bi 0.500 0.500 0.500
Cu 0.000 0.000 0.000

Energy relative to the elements = 0.2126 eV/atom
Relative energy among the computed polymorphs = 11.2 kJ per mole of atoms
Energy = -6.530 eV/atom
Crystal system = trigonal


[15]
Below is an optimized crystal structure of PaCuBiPt, with properties calculated at the PBE level.

Cell lengths 4.909, 4.909, 4.909 Å; angles 60.00, 60.00, 60.00 degrees
Positions (direct):
Pa 0.500 0.500 0.500
Bi 0.000 0.000 0.000
Pt 0.250 0.250 0.250
Cu 0.750 0.750 0.750

Energy relative to the elements = -0.3249 eV/atom
Energy = -6.203 eV/atom
Crystal system = cubic


[16]
Below is an optimized crystal structure of PaCuBiRu, with properties calculated at the PBE level.

Cell lengths 4.830, 4.830, 4.830 Å; angles 60.00, 60.00, 60.00 degrees
Positions (direct):
Ru 0.250 0.250 0.250
Pa 0.500 0.500 0.500
Bi 0.000 0.000 0.000
Cu 0.750 0.750 0.750

Energy relative to the elements = -0.0188 eV/atom
Energy = -6.706 eV/atom
Crystal system = cubic


[17]
Below is an optimized crystal structure of PaCuBi2S6, with properties calculated at the PBE level.

Cell lengths 6.871, 6.870, 7.537 Å; angles 62.88, 62.89, 60.00 degrees
Positions (direct):
Pa 0.832 0.832 0.503
Cu 0.258 0.258 0.227
Bi 0.513 0.513 0.462
Bi 0.025 0.024 0.926
S 0.601 0.211 0.239
S 0.211 0.949 0.239
S 0.949 0.601 0.239
S 0.453 0.729 0.726
S 0.729 0.092 0.726
S 0.092 0.453 0.726

Energy = -5.328 eV/atom
Crystal system = trigonal


[18]
Below is an optimized crystal structure of PaCuBi2Se5, with properties calculated at the PBE level.

Cell lengths 4.133, 9.080, 13.722 Å; angles 90.00, 90.00, 103.16 degrees
Positions (direct):
Pa 0.818 0.637 0.553
Pa 0.182 0.363 0.053
Cu 0.564 0.128 0.938
Cu 0.436 0.872 0.438
Bi 0.895 0.790 0.777
Bi 0.105 0.210 0.639
Bi 0.105 0.210 0.277
Bi 0.895 0.790 0.139
Se 0.346 0.692 0.015
Se 0.699 0.399 0.917
Se 0.508 0.016 0.773
Se 0.281 0.562 0.692
Se 0.973 0.946 0.520
Se 0.654 0.308 0.515
Se 0.301 0.601 0.417
Se 0.492 0.984 0.273
Se 0.719 0.438 0.192
Se 0.027 0.054 0.020

Energy = -4.938 eV/atom
Crystal system = orthorhombic


[19]
Below is an optimized crystal structure of Cu2BiPb, with properties calculated at the PBE level.

Cell lengths 4.781, 4.781, 9.140 Å; angles 74.84, 74.84, 90.00 degrees
Positions (direct):
Pb 0.500 0.500 0.000
Pb 0.250 0.750 0.500
Bi 0.000 0.000 0.000
Bi 0.750 0.250 0.500
Cu 0.640 0.125 0.250
Cu 0.110 0.625 0.250
Cu 0.375 0.360 0.750
Cu 0.875 0.890 0.750

Energy relative to the elements = 0.3591 eV/atom
Energy = -3.586 eV/atom
Crystal system = tetragonal


[20]
Below is an optimized crystal structure of CuBi2Pb2, with properties calculated at the PBE level.

Cell lengths 7.128, 7.128, 5.917 Å; angles 90.00, 90.00, 90.00 degrees
Positions (direct):
Pb 0.190 0.690 0.500
Pb 0.690 0.810 0.500
Pb 0.810 0.310 0.500
Pb 0.310 0.190 0.500
Bi 0.345 0.845 0.000
Bi 0.845 0.655 0.000
Bi 0.655 0.155 0.000
Bi 0.155 0.345 0.000
Cu 0.000 0.000 0.000
Cu 0.500 0.500 0.000

Energy relative to the elements = 0.1663 eV/atom
Relative energy among the computed polymorphs = 0.0 kJ per mole of atoms
Energy = -3.689 eV/atom
Crystal system = tetragonal


Size of the total moment: 0.0 0.0 1.9 0.0 0.0 1.0 1.6 0.0 1.2 0.9 0.4 0.0 0.3 0.0 0.0 0.0 0.0 0.1 0.0 0.0 (μB/cell)